1.
CsZr3Sn: single point on PBEsol structure, meta-GGA SCAN.

Energy of formation = 1806 meV/atom
Crystal system = cubic
Theoretical density = 6.363 Mg/m³
V = 137.08 Å³/f.u.
SG = Pm-3m, No. 221
Spin magnetization = 1.67 μB/f.u.

Unit cell a=5.1561 b=5.1561 c=5.1561 alpha=90.00 beta=90.00 gamma=90.00
Last column: nearest neighbours and their distance in Å.
Fractional positions:
Sn (0.5000, 0.5000, 0.5000)  12 Zr 3.65
Zr (0.5000, 0.0000, 0.0000)  2 Cs 2.58
Zr (0.0000, 0.0000, 0.5000)  2 Cs 2.58
Zr (0.0000, 0.5000, 0.0000)  2 Cs 2.58
Cs (0.0000, 0.0000, 0.0000)  6 Zr 2.58

2.
Cs3SrZn: single point on PBEsol structure, meta-GGA SCAN.

Energy of formation = 603 meV/atom
Crystal system = cubic
Theoretical density = 1.403 Mg/m³
V = 652.84 Å³/f.u.
SG = Pm-3m, No. 221
Spin magnetization = 0.13 μB/f.u.

Unit cell a=8.6750 b=8.6750 c=8.6750 alpha=90.00 beta=90.00 gamma=90.00
Last column: nearest neighbours and their distance in Å.
Fractional positions:
Sr (0.0000, 0.0000, 0.0000)  6 Cs 4.34
Cs (0.0000, 0.5000, 0.0000)  2 Sr 4.34
Cs (0.0000, 0.0000, 0.5000)  2 Sr 4.34
Cs (0.5000, 0.0000, 0.0000)  2 Sr 4.34
Zn (0.5000, 0.5000, 0.5000)  none within 6

3.
CsTaTc2: single point on PBEsol structure, meta-GGA SCAN.

Energy of formation = 1674 meV/atom
Crystal system = cubic
Theoretical density = 11.651 Mg/m³
V = 72.67 Å³/f.u.
SG = Fm-3m, No. 225
Spin magnetization = 0.00 μB/f.u.

Unit cell a=4.6840 b=4.6840 c=4.6840 alpha=60.00 beta=60.00 gamma=60.00
Last column: nearest neighbours and their distance in Å.
Fractional positions:
Ta (0.5000, 0.5000, 0.5000)  8 Tc 2.87
Tc (0.7500, 0.7500, 0.7500)  4 Ta 2.87, 4 Cs 2.87
Tc (0.2500, 0.2500, 0.2500)  4 Cs 2.87, 4 Ta 2.87
Cs (0.0000, 0.0000, 0.0000)  8 Tc 2.87

4.
CsTaTe2: single point on PBEsol structure, meta-GGA SCAN.

Formation energy (no corrections) = 0.384 eV per atom
Crystal system = cubic
Theoretical density = 8.659 Mg/m³
V = 109.13 Å³/f.u.
SG = Fm-3m, No. 225
Spin magnetization = 2.00 μB/f.u.

Unit cell a=5.3639 b=5.3639 c=5.3639 alpha=60.00 beta=60.00 gamma=60.00
Last column: nearest neighbours and their distance in Å.
Fractional positions:
Te (0.7500, 0.7500, 0.7500)  4 Cs 3.28, 4 Ta 3.28
Te (0.2500, 0.2500, 0.2500)  4 Ta 3.28, 4 Cs 3.28
Cs (0.0000, 0.0000, 0.0000)  8 Te 3.28
Ta (0.5000, 0.5000, 0.5000)  8 Te 3.28

5.
CsTaTe3: single point on PBEsol structure, meta-GGA SCAN.

Formation energy (no corrections) = 2.120 eV per atom
Crystal system = cubic
Theoretical density = 5.614 Mg/m³
V = 206.07 Å³/f.u.
SG = Pm-3m, No. 221
Spin magnetization = 2.48 μB/f.u.

Unit cell a=5.9066 b=5.9066 c=5.9066 alpha=90.00 beta=90.00 gamma=90.00
Last column: nearest neighbours and their distance in Å.
Fractional positions:
Te (0.0000, 0.5000, 0.0000)  2 Cs 2.95
Te (0.5000, 0.0000, 0.0000)  2 Cs 2.95
Te (0.0000, 0.0000, 0.5000)  2 Cs 2.95
Cs (0.0000, 0.0000, 0.0000)  6 Te 2.95
Ta (0.5000, 0.5000, 0.5000)  12 Te 4.18

6.
CsZr3Ta: single point on PBEsol structure, meta-GGA SCAN.

Energy of formation = 1127 meV/atom
Crystal system = cubic
Theoretical density = 6.614 Mg/m³
V = 147.50 Å³/f.u.
SG = Pm-3m, No. 221
Spin magnetization = 0.00 μB/f.u.

Unit cell a=5.2836 b=5.2836 c=5.2836 alpha=90.00 beta=90.00 gamma=90.00
Last column: nearest neighbours and their distance in Å.
Fractional positions:
Ta (0.0000, 0.0000, 0.0000)  6 Zr 2.64
Zr (0.0000, 0.0000, 0.5000)  2 Ta 2.64
Zr (0.5000, 0.0000, 0.0000)  2 Ta 2.64
Zr (0.0000, 0.5000, 0.0000)  2 Ta 2.64
Cs (0.5000, 0.5000, 0.5000)  12 Zr 3.74

7.
Cs3Tb7Te12: single point on PBEsol structure, meta-GGA SCAN.

Formation energy (no corrections) = -1.574 eV per atom
Crystal system = orthorhombic
Theoretical density = 6.134 Mg/m³
V = 823.55 Å³/f.u.
SG = Pmn2_1, No. 31
Spin magnetization = 0.00 μB/f.u.

Unit cell a=4.3801 b=13.4566 c=27.9446 alpha=90.00 beta=90.00 gamma=90.00
Last column: nearest neighbours and their distance in Å.
Fractional positions:
Te (0.0000, 0.6836, 0.6771)  3 Tb 3.04-3.09
Te (0.0000, 0.4130, 0.5190)  3 Tb 3.04-3.10
Te (0.0000, 0.6911, 0.8955)  4 Tb 3.02-3.07
Te (0.5000, 0.5032, 0.8007)  5 Tb 3.14-3.17
Te (0.5000, 0.6797, 0.2095)  3 Tb 3.00-3.01
Te (0.5000, 0.8868, 0.5776)  3 Tb 3.03-3.04
Te (0.0000, 0.4968, 0.3007)  5 Tb 3.14-3.17
Te (0.5000, 0.1816, 0.8213)  3 Tb 3.02-3.04
Te (0.0000, 0.1005, 0.4820)  3 Tb 3.00-3.06
Te (0.0000, 0.8184, 0.3213)  3 Tb 3.02-3.04
Te (0.0000, 0.3786, 0.9224)  3 Tb 3.01-3.05
Te (0.0000, 0.8038, 0.1048)  4 Tb 3.02-3.06
Te (0.0000, 0.1785, 0.2909)  3 Tb 3.01
Te (0.5000, 0.8995, 0.9820)  3 Tb 3.00-3.06
Te (0.5000, 0.1962, 0.6048)  4 Tb 3.02-3.06
Te (0.5000, 0.3089, 0.3955)  4 Tb 3.02-3.07
Te (0.5000, 0.8215, 0.7909)  3 Tb 3.01
Te (0.5000, 0.9957, 0.1986)  5 Tb 3.13-3.20
Te (0.0000, 0.3203, 0.7095)  3 Tb 3.00-3.01
Te (0.0000, 0.1132, 0.0776)  3 Tb 3.03-3.04
Te (0.0000, 0.0043, 0.6986)  5 Tb 3.13-3.20
Te (0.5000, 0.5870, 0.0190)  3 Tb 3.04-3.10
Te (0.5000, 0.6214, 0.4224)  3 Tb 3.01-3.05
Te (0.5000, 0.3164, 0.1771)  3 Tb 3.04-3.09
Cs (0.5000, 0.3016, 0.0251)  5 Te 3.66-3.84
Cs (0.0000, 0.5288, 0.1322)  7 Te 3.69-3.93
Cs (0.0000, 0.9764, 0.8743)  7 Te 3.82-3.88
Cs (0.5000, 0.0236, 0.3743)  7 Te 3.82-3.88
Cs (0.0000, 0.6984, 0.5251)  5 Te 3.66-3.84
Cs (0.5000, 0.4712, 0.6322)  7 Te 3.69-3.93
Tb (0.5000, 0.8397, 0.6834)  6 Te 3.01-3.14
Tb (0.5000, 0.5356, 0.9131)  6 Te 3.04-3.17
Tb (0.5000, 0.3319, 0.2874)  6 Te 3.01-3.14
Tb (0.0000, 0.7450, 0.0005)  6 Te 3.02-3.10
Tb (0.0000, 0.8326, 0.2127)  6 Te 3.01-3.13
Tb (0.0000, 0.3361, 0.8167)  6 Te 3.00-3.17
Tb (0.0000, 0.4644, 0.4131)  6 Te 3.04-3.17
Tb (0.5000, 0.2550, 0.5005)  6 Te 3.02-3.10
Tb (0.5000, 0.9578, 0.0856)  6 Te 3.00-3.20
Tb (0.0000, 0.0422, 0.5856)  6 Te 3.00-3.20
Tb (0.0000, 0.6681, 0.7874)  6 Te 3.01-3.14
Tb (0.5000, 0.1674, 0.7127)  6 Te 3.01-3.13
Tb (0.0000, 0.1603, 0.1834)  6 Te 3.01-3.14
Tb (0.5000, 0.6639, 0.3167)  6 Te 3.00-3.17

8.
Cs2TcTe: single point on PBEsol structure, meta-GGA SCAN.

Formation energy (no corrections) = 0.618 eV per atom
Crystal system = cubic
Theoretical density = 4.994 Mg/m³
V = 163.39 Å³/f.u.
SG = Fm-3m, No. 225
Spin magnetization = 5.00 μB/f.u.

Unit cell a=6.1364 b=6.1364 c=6.1364 alpha=60.00 beta=60.00 gamma=60.00
Last column: nearest neighbours and their distance in Å.
Fractional positions:
Te (0.5000, 0.5000, 0.5000)  8 Cs 3.76
Cs (0.2500, 0.2500, 0.2500)  4 Tc 3.76, 4 Te 3.76
Cs (0.7500, 0.7500, 0.7500)  4 Tc 3.76, 4 Te 3.76
Tc (0.0000, 0.0000, 0.0000)  8 Cs 3.76

9.
CsTiTc3: single point on PBEsol structure, meta-GGA SCAN.

Energy of formation = 1786 meV/atom
Crystal system = cubic
Theoretical density = 7.395 Mg/m³
V = 106.61 Å³/f.u.
SG = Pm-3m, No. 221
Spin magnetization = 4.63 μB/f.u.

Unit cell a=4.7418 b=4.7418 c=4.7418 alpha=90.00 beta=90.00 gamma=90.00
Last column: nearest neighbours and their distance in Å.
Fractional positions:
Tc (0.0000, 0.0000, 0.5000)  2 Ti 2.37
Tc (0.5000, 0.0000, 0.0000)  2 Ti 2.37
Tc (0.0000, 0.5000, 0.0000)  2 Ti 2.37
Ti (0.0000, 0.0000, 0.0000)  6 Tc 2.37
Cs (0.5000, 0.5000, 0.5000)  12 Tc 3.35

10.
CsZrTc3: single point on PBEsol structure, meta-GGA SCAN.

Energy of formation = 2835 meV/atom
Crystal system = cubic
Theoretical density = 8.005 Mg/m³
V = 107.47 Å³/f.u.
SG = Pm-3m, No. 221
Spin magnetization = 0.00 μB/f.u.

Unit cell a=4.7545 b=4.7545 c=4.7545 alpha=90.00 beta=90.00 gamma=90.00
Last column: nearest neighbours and their distance in Å.
Fractional positions:
Tc (0.0000, 0.0000, 0.5000)  2 Cs 2.38
Tc (0.5000, 0.0000, 0.0000)  2 Cs 2.38
Tc (0.0000, 0.5000, 0.0000)  2 Cs 2.38
Cs (0.0000, 0.0000, 0.0000)  6 Tc 2.38
Zr (0.5000, 0.5000, 0.5000)  12 Tc 3.36

> What is the formula in the eighth record?

Cs2TcTe